Compound: CaNd7Mg4
Source: Alexandria via LeMat-Bulk
Functional: PBE
Structure: relaxed

CIF file:
```
data_CaNd7Mg4
_chemical_formula_sum 'Ca2 Nd14 Mg8'
_symmetry_space_group_name_H-M 'C 1 2/m 1'
_symmetry_Int_Tables_number 12
_symmetry_space_group_name_Hall '-C 2y'
_cell_length_a 15.4683
_cell_length_b 5.9094
_cell_length_c 9.8702
_cell_angle_alpha 90.00
_cell_angle_beta 120.86
_cell_angle_gamma 90.00
loop_
_atom_site_label
_atom_site_type_symbol
_atom_site_fract_x
_atom_site_fract_y
_atom_site_fract_z
Ca1 Ca 0.0000 0.0000 0.0000
Nd1 Nd 0.0000 0.5000 0.0000
Nd2 Nd 0.0856 0.0000 0.4353
Nd3 Nd 0.1977 0.0000 0.8773
Nd4 Nd 0.2474 0.5000 0.7134
Mg1 Mg 0.0368 0.5000 0.6925
Mg2 Mg 0.1735 0.5000 0.3443
```

magnetization = 0.00 μB per formula unit

Compound: In12Ga7Hg
Source: Alexandria via LeMat-Bulk
Functional: PBE
Structure: relaxed

CIF file:
```
data_In12Ga7Hg
_chemical_formula_sum 'In36 Ga21 Hg3'
_symmetry_space_group_name_H-M 'R -3'
_symmetry_Int_Tables_number 148
_symmetry_space_group_name_Hall '-R 3'
_cell_length_a 14.4138
_cell_length_b 14.4138
_cell_length_c 8.1758
_cell_angle_alpha 90.00
_cell_angle_beta 90.00
_cell_angle_gamma 120.00
loop_
_atom_site_label
_atom_site_type_symbol
_atom_site_fract_x
_atom_site_fract_y
_atom_site_fract_z
In1 In 0.0285 0.2602 0.3497
In2 In 0.0728 0.5707 0.6670
Ga1 Ga 0.0000 0.0000 0.5000
Ga2 Ga 0.0169 0.1612 0.6900
Hg1 Hg 0.0000 0.0000 0.0000
```

magnetization = 0.00 μB per formula unit
offset from the most stable computed form = 0.0000 eV/atom

| no. | E_form (eV/f.u.) |
| --- | --- |
| 1 | 1.7 |
| 2 | 0.7 |